CeSmZn2: optimized geometry, PBE-GGA.

Results
DOS at the Fermi energy: 7.9 states/eV/cell
calculated formation energy: -23.49 kJ per mole of atoms
energy above the lowest structure with this stoichiometry: 0.000 eV/f.u.
space group: P4/mmm

Unit cell a=3.6062 b=3.6062 c=7.3675 alpha=90.00 beta=90.00 gamma=90.00
Closest atoms and distances in Å follow each position.
Atoms (fractional coordinates):
Ce 0.0000 0.0000 0.0000  8 Zn 3.16
Sm 0.0000 0.0000 0.5000  8 Zn 3.13
Zn 0.5000 0.5000 0.2527  4 Sm 3.13, 4 Ce 3.16
Zn 0.5000 0.5000 0.7473  4 Sm 3.13, 4 Ce 3.16

---

CeSm3Zn2: optimized geometry, PBE-GGA.

Results
DOS at the Fermi energy: 7.5 states/eV/cell
calculated formation energy: -17.70 kJ per mole of atoms
space group: P4/mmm

Unit cell a=3.6030 b=3.6030 c=12.2541 alpha=90.00 beta=90.00 gamma=90.00
Closest atoms and distances in Å follow each position.
Atoms (fractional coordinates):
Ce 0.0000 0.0000 0.0000  8 Sm 3.55, 4 Ce 3.60
Sm 0.5000 0.5000 0.2013  4 Zn 3.13
Sm 0.5000 0.5000 0.5000  8 Zn 3.15
Sm 0.5000 0.5000 0.7987  4 Zn 3.13
Zn 0.0000 0.0000 0.3493  8 Sm 3.13-3.15
Zn 0.0000 0.0000 0.6507  8 Sm 3.13-3.15

---

Ce2SmZn4: optimized geometry, PBE-GGA.

Results
DOS at the Fermi energy: 11.6 states/eV/cell
calculated formation energy: -19.31 kJ per mole of atoms
space group: C2/m

Unit cell a=5.8663 b=5.8663 c=5.9704 alpha=118.98 beta=118.98 gamma=78.80
Closest atoms and distances in Å follow each position.
Atoms (fractional coordinates):
Ce 0.0433 0.0433 0.2639  1 Ce 2.73, 2 Zn 3.05
Ce 0.9567 0.9567 0.7361  1 Ce 2.73, 2 Zn 3.05
Sm 0.5000 0.5000 0.5000  8 Zn 3.30-3.32, 2 Ce 3.44
Zn 0.1390 0.4898 0.8625  3 Zn 2.61-2.77
Zn 0.4898 0.1390 0.8625  3 Zn 2.61-2.77
Zn 0.5102 0.8610 0.1375  3 Zn 2.61-2.77
Zn 0.8610 0.5102 0.1375  3 Zn 2.61-2.77

---

Ce3SmZn8: optimized geometry, PBE-GGA.

Results
DOS at the Fermi energy: 16.9 states/eV/cell
calculated formation energy: -27.29 kJ per mole of atoms
energy above the lowest structure with this stoichiometry: 0.000 eV/f.u.
space group: R3m

Unit cell a=9.5154 b=9.5154 c=9.5154 alpha=33.73 beta=33.73 gamma=33.73
Closest atoms and distances in Å follow each position.
Atoms (fractional coordinates):
Ce 0.0000 0.0000 0.0000  12 Zn 3.23-3.25, 4 Ce 3.25-3.37
Ce 0.1208 0.1208 0.1208  12 Zn 3.18-3.30, 1 Ce 3.25, 3 Sm 3.42
Ce 0.6262 0.6262 0.6262  12 Zn 3.19-3.26, 3 Ce 3.37, 1 Sm 3.39
Sm 0.5003 0.5003 0.5003  12 Zn 3.21-3.24, 4 Ce 3.39-3.42
Zn 0.0617 0.0617 0.5610  6 Zn 2.74-2.76
Zn 0.0617 0.5610 0.0617  6 Zn 2.74-2.76
Zn 0.0646 0.5610 0.5610  6 Zn 2.74-2.78
Zn 0.3119 0.3119 0.3119  6 Zn 2.75-2.76
Zn 0.5610 0.0617 0.0617  6 Zn 2.74-2.76
Zn 0.5610 0.0646 0.5610  6 Zn 2.74-2.78
Zn 0.5610 0.5610 0.0646  6 Zn 2.74-2.78
Zn 0.8119 0.8119 0.8119  6 Zn 2.74-2.75

---

CeSmZn2: optimized geometry, PBE-GGA.

Results
DOS at the Fermi energy: 6.6 states/eV/cell
calculated formation energy: -2.98 kJ per mole of atoms
energy above the lowest structure with this stoichiometry: 0.851 eV/f.u.
space group: R-3m

Unit cell a=9.6139 b=9.6139 c=9.6139 alpha=21.21 beta=21.21 gamma=21.21
Closest atoms and distances in Å follow each position.
Atoms (fractional coordinates):
Ce 0.0000 0.0000 0.0000  6 Zn 3.13
Sm 0.5000 0.5000 0.5000  6 Zn 3.10
Zn 0.2492 0.2492 0.2492  3 Sm 3.10, 3 Ce 3.13
Zn 0.7508 0.7508 0.7508  3 Sm 3.10, 3 Ce 3.13

---

Ce2SmZn: optimized geometry, PBE-GGA.

Results
DOS at the Fermi energy: 9.7 states/eV/cell
calculated formation energy: 31.48 kJ per mole of atoms
energy above the lowest structure with this stoichiometry: 1.347 eV/f.u.
space group: R-3m

Unit cell a=12.3435 b=12.3435 c=12.3435 alpha=15.26 beta=15.26 gamma=15.26
Closest atoms and distances in Å follow each position.
Atoms (fractional coordinates):
Ce 0.0849 0.0849 0.0849  1 Zn 3.10, 6 Ce 3.28
Ce 0.9151 0.9151 0.9151  1 Zn 3.10, 6 Ce 3.28
Sm 0.5000 0.5000 0.5000  6 Sm 3.28, 6 Ce 3.54
Zn 0.0000 0.0000 0.0000  2 Ce 3.10, 6 Zn 3.28

---

Among the records above, which one has the lowest calculated formation energy?
Ce3SmZn8